Record 1
! CsSn2HgB | the Alexandria database | PBE-GGA | relaxed; values from VASP
&SYSTEM
  ibrav = 0, nat = 5, ntyp = 4
/
ATOMIC_SPECIES
Sn 118.71 Sn.upf
Cs 132.91 Cs.upf
B 10.81 B.upf
Hg 200.59 Hg.upf
ATOMIC_POSITIONS crystal
Sn 0.500 0.000 0.000
Sn 0.000 0.000 0.500
Cs 0.000 0.500 0.000
B 0.000 0.000 0.000
Hg 0.500 0.500 0.500
CELL_PARAMETERS angstrom
4.864 0.000 0.000
0.000 6.882 0.000
0.000 0.000 4.864
! - DOS(E_F): 0.607 states/eV per atom
! - ΔE_f: 0.53 eV per atom

***

Record 2
! B5C7 | the Alexandria database | PBE-GGA | relaxed; values from VASP
&SYSTEM
  ibrav = 0, nat = 12, ntyp = 2
/
ATOMIC_SPECIES
C 12.01 C.upf
B 10.81 B.upf
ATOMIC_POSITIONS crystal
C 0.000 0.327 0.356
C 0.500 0.167 0.902
C 0.500 0.839 0.588
C 0.000 0.315 0.588
C 0.500 0.155 0.665
C 0.000 0.014 0.983
C 0.000 0.687 0.928
B 0.500 0.829 0.356
B 0.000 0.031 0.221
B 0.000 0.652 0.675
B 0.500 0.469 0.289
B 0.500 0.515 0.950
CELL_PARAMETERS angstrom
-2.336 -0.818 0.850
1.606 -4.315 0.261
1.887 1.139 6.284
! - DOS(E_F): 0.207 states/eV per atom
! - Energy above the most stable polymorph in this dataset: 130 meV per atom
! - ΔE_f: 0.39 eV per atom

***

Record 3
! MgTi2Pd4 | the Alexandria database | PBE-GGA | relaxed; values from VASP
&SYSTEM
  ibrav = 0, nat = 14, ntyp = 3
/
ATOMIC_SPECIES
Pd 106.42 Pd.upf
Mg 24.30 Mg.upf
Ti 47.87 Ti.upf
ATOMIC_POSITIONS crystal
Pd 0.477 0.608 0.882
Pd 0.908 0.790 0.240
Pd 0.416 0.078 0.874
Pd 0.180 0.566 0.037
Pd 0.865 0.255 0.174
Pd 0.362 0.189 0.469
Pd 0.967 0.611 0.613
Pd 0.708 0.899 0.697
Mg 0.268 0.652 0.463
Mg 0.113 0.035 0.030
Ti 0.578 0.487 0.281
Ti 0.589 0.994 0.296
Ti 0.749 0.405 0.811
Ti 0.069 0.181 0.633
CELL_PARAMETERS angstrom
-3.046 -6.463 -0.860
5.123 -1.010 1.539
-2.728 3.458 5.314
! - DOS(E_F): 0.728 states/eV per atom
! - Energy above the most stable polymorph in this dataset: 0 meV per atom
! - ΔE_f: -0.56 eV per atom

***

Record 4
! Ca2SbH2 | the Alexandria database | PBE-GGA | relaxed; values from VASP
&SYSTEM
  ibrav = 0, nat = 5, ntyp = 3
/
ATOMIC_SPECIES
H 1.01 H.upf
Sb 121.76 Sb.upf
Ca 40.08 Ca.upf
ATOMIC_POSITIONS crystal
H 0.500 0.000 0.500
H 0.000 0.500 0.500
Sb 0.000 0.000 0.000
Ca 0.500 0.500 0.711
Ca 0.500 0.500 0.289
CELL_PARAMETERS angstrom
3.671 0.000 0.000
0.000 3.671 0.000
0.000 0.000 7.142
! - DOS(E_F): 0.243 states/eV per atom
! - Energy above the most stable polymorph in this dataset: 165 meV per atom

***

Record 5
! RbRh | the Alexandria database | PBE-GGA | relaxed; values from VASP
&SYSTEM
  ibrav = 0, nat = 4, ntyp = 2
/
ATOMIC_SPECIES
Rh 102.91 Rh.upf
Rb 85.47 Rb.upf
ATOMIC_POSITIONS crystal
Rh 0.667 0.333 0.250
Rh 0.333 0.667 0.750
Rb 0.667 0.333 0.750
Rb 0.333 0.667 0.250
CELL_PARAMETERS angstrom
5.551 0.000 0.000
-2.775 4.807 0.000
0.000 0.000 5.997
! - DOS(E_F): 3.809 states/eV per atom
! - ΔE_f: 1.74 eV per atom

***

Record 6
! CrCoC2 | the Alexandria database | PBE-GGA | relaxed; values from VASP
&SYSTEM
  ibrav = 0, nat = 8, ntyp = 3
/
ATOMIC_SPECIES
Cr 52.00 Cr.upf
C 12.01 C.upf
Co 58.93 Co.upf
ATOMIC_POSITIONS crystal
Cr 0.250 0.750 0.500
Cr 0.500 0.500 0.000
C 0.375 0.367 0.750
C 0.117 0.625 0.250
C 0.875 0.883 0.750
C 0.633 0.125 0.250
Co 0.750 0.250 0.500
Co 0.000 0.000 0.000
CELL_PARAMETERS angstrom
4.328 0.000 0.000
0.000 4.328 0.000
2.164 2.164 4.358
! - DOS(E_F): 0.429 states/eV per atom
! - ΔE_f: 0.55 eV per atom

***

Record 7
! Nd4Ho3Tm3 | the Alexandria database | PBE-GGA | relaxed; values from VASP
&SYSTEM
  ibrav = 0, nat = 10, ntyp = 3
/
ATOMIC_SPECIES
Nd 144.24 Nd.upf
Ho 164.93 Ho.upf
Tm 168.93 Tm.upf
ATOMIC_POSITIONS crystal
Nd 0.000 0.369 0.631
Nd 0.000 0.868 0.869
Nd 0.000 0.631 0.369
Nd 0.000 0.131 0.132
Ho 0.000 0.999 0.499
Ho 0.000 0.501 0.001
Ho 0.500 0.168 0.832
Tm 0.500 0.332 0.332
Tm 0.500 0.832 0.168
Tm 0.500 0.668 0.668
CELL_PARAMETERS angstrom
3.801 0.000 0.000
0.000 9.266 -0.036
0.000 0.046 9.266
! - DOS(E_F): 0.753 states/eV per atom
! - ΔE_f: 0.11 eV per atom

***

Record 8
! PaTlRuRh | the Alexandria database | PBE-GGA | relaxed; values from VASP
&SYSTEM
  ibrav = 0, nat = 4, ntyp = 4
/
ATOMIC_SPECIES
Tl 204.38 Tl.upf
Pa 231.04 Pa.upf
Rh 102.91 Rh.upf
Ru 101.07 Ru.upf
ATOMIC_POSITIONS crystal
Tl 0.750 0.750 0.750
Pa 0.250 0.250 0.250
Rh 0.500 0.500 0.500
Ru 0.000 0.000 0.000
CELL_PARAMETERS angstrom
4.779 0.000 0.000
2.389 4.139 0.000
2.389 1.380 3.902
! - DOS(E_F): 1.417 states/eV per atom
! - ΔE_f: -0.27 eV per atom

***

Record 9
! YHf2C | the Alexandria database | PBE-GGA | relaxed; values from VASP
&SYSTEM
  ibrav = 0, nat = 8, ntyp = 3
/
ATOMIC_SPECIES
Hf 178.49 Hf.upf
Y 88.91 Y.upf
C 12.01 C.upf
ATOMIC_POSITIONS crystal
Hf 0.305 0.625 0.250
Hf 0.375 0.555 0.750
Hf 0.875 0.695 0.750
Hf 0.445 0.125 0.250
Y 0.750 0.250 0.500
Y 0.000 0.000 0.000
C 0.250 0.750 0.500
C 0.500 0.500 0.000
CELL_PARAMETERS angstrom
-4.728 -4.588 0.944
3.989 -4.647 -2.605
1.323 -5.504 3.341
! - DOS(E_F): 1.825 states/eV per atom
! - ΔE_f: 0.29 eV per atom

***

Record 10
! BaGaOs3 | the Alexandria database | PBE-GGA | relaxed; values from VASP
&SYSTEM
  ibrav = 0, nat = 5, ntyp = 3
/
ATOMIC_SPECIES
Os 190.23 Os.upf
Ba 137.33 Ba.upf
Ga 69.72 Ga.upf
ATOMIC_POSITIONS crystal
Os 0.500 0.000 0.000
Os 0.000 0.500 0.000
Os 0.000 0.000 0.500
Ba 0.000 0.000 0.000
Ga 0.500 0.500 0.500
CELL_PARAMETERS angstrom
-0.697 -4.994 1.048
4.550 -0.129 2.409
-2.310 1.252 4.430
! - DOS(E_F): 1.174 states/eV per atom
! - Energy above the most stable polymorph in this dataset: 2071 meV per atom
! - ΔE_f: 3.61 eV per atom

***

Record 11
! LiAcHoCo | the Alexandria database | PBE-GGA | relaxed; values from VASP
&SYSTEM
  ibrav = 0, nat = 4, ntyp = 4
/
ATOMIC_SPECIES
Co 58.93 Co.upf
Ac 227.00 Ac.upf
Ho 164.93 Ho.upf
Li 6.94 Li.upf
ATOMIC_POSITIONS crystal
Co 0.500 0.500 0.500
Ac 0.250 0.250 0.250
Ho 0.750 0.750 0.750
Li 0.000 0.000 0.000
CELL_PARAMETERS angstrom
-0.832 -1.974 -4.624
-2.765 -4.252 -0.495
-4.655 0.214 -2.062
! - DOS(E_F): 0.942 states/eV per atom
! - ΔE_f: 0.07 eV per atom

***

Record 12
! Ba3HgB | the Alexandria database | PBE-GGA | relaxed; values from VASP
&SYSTEM
  ibrav = 0, nat = 5, ntyp = 3
/
ATOMIC_SPECIES
Hg 200.59 Hg.upf
B 10.81 B.upf
Ba 137.33 Ba.upf
ATOMIC_POSITIONS crystal
Hg 0.500 0.500 0.500
B 0.000 0.000 0.000
Ba 0.000 0.000 0.500
Ba 0.000 0.500 0.000
Ba 0.500 0.000 0.000
CELL_PARAMETERS angstrom
-2.130 4.062 3.779
-3.283 -4.185 2.649
4.472 -1.138 3.744
! - DOS(E_F): 1.448 states/eV per atom
! - Energy above the most stable polymorph in this dataset: 0 meV per atom
! - ΔE_f: 0.27 eV per atom

***

Record 13
! Ba3Se | the Alexandria database | PBE-GGA | relaxed; values from VASP
&SYSTEM
  ibrav = 0, nat = 4, ntyp = 2
/
ATOMIC_SPECIES
Ba 137.33 Ba.upf
Se 78.96 Se.upf
ATOMIC_POSITIONS crystal
Ba 0.000 0.000 0.924
Ba 0.667 0.333 0.250
Ba 0.000 0.000 0.576
Se 0.667 0.333 0.750
CELL_PARAMETERS angstrom
-1.298 -1.443 -4.136
4.421 0.746 0.876
1.192 -11.216 3.539
! - DOS(E_F): 1.159 states/eV per atom
! - Energy above the most stable polymorph in this dataset: 53 meV per atom

***

Record 14
! TbSm12Y6 | the Alexandria database | PBE-GGA | relaxed; values from VASP
&SYSTEM
  ibrav = 0, nat = 19, ntyp = 3
/
ATOMIC_SPECIES
Sm 150.36 Sm.upf
Y 88.91 Y.upf
Tb 158.93 Tb.upf
ATOMIC_POSITIONS crystal
Sm 0.646 0.646 0.919
Sm 0.354 0.354 0.081
Sm 0.757 0.500 0.243
Sm 0.757 0.243 0.500
Sm 0.081 0.354 0.354
Sm 0.919 0.646 0.646
Sm 0.243 0.500 0.757
Sm 0.500 0.243 0.757
Sm 0.243 0.757 0.500
Sm 0.500 0.757 0.243
Sm 0.646 0.919 0.646
Sm 0.354 0.081 0.354
Y 0.901 0.901 0.338
Y 0.901 0.338 0.901
Y 0.099 0.662 0.099
Y 0.338 0.901 0.901
Y 0.662 0.099 0.099
Y 0.099 0.099 0.662
Tb 0.000 0.000 0.000
CELL_PARAMETERS angstrom
8.728 -0.178 -1.219
-1.377 8.620 -1.219
-0.155 -0.178 8.811
! - DOS(E_F): 1.959 states/eV per atom
! - Energy above the most stable polymorph in this dataset: 58 meV per atom
! - ΔE_f: 0.20 eV per atom

***

Record 15
! K2ScZn3F12 | the Alexandria database | PBE-GGA | relaxed; values from VASP
&SYSTEM
  ibrav = 0, nat = 18, ntyp = 4
/
ATOMIC_SPECIES
F 19.00 F.upf
K 39.10 K.upf
Sc 44.96 Sc.upf
Zn 65.41 Zn.upf
ATOMIC_POSITIONS crystal
F 0.680 0.680 0.081
F 0.076 0.672 0.076
F 0.076 0.076 0.672
F 0.672 0.076 0.076
F 0.328 0.924 0.924
F 0.320 0.320 0.919
F 0.924 0.924 0.328
F 0.081 0.680 0.680
F 0.680 0.081 0.680
F 0.924 0.328 0.924
F 0.320 0.919 0.320
F 0.919 0.320 0.320
K 0.613 0.613 0.613
K 0.387 0.387 0.387
Sc 0.000 0.000 0.000
Zn 0.500 0.000 0.000
Zn 0.000 0.500 0.000
Zn 0.000 0.000 0.500
CELL_PARAMETERS angstrom
7.560 0.162 0.115
3.874 6.494 0.115
3.874 2.255 6.090
! - DOS(E_F): 0.345 states/eV per atom
! - DFT total energy: -83.15 eV for the cell shown

***

Record 16
! CdAgBRh2 | the Alexandria database | PBE-GGA | relaxed; values from VASP
&SYSTEM
  ibrav = 0, nat = 5, ntyp = 4
/
ATOMIC_SPECIES
Rh 102.91 Rh.upf
B 10.81 B.upf
Cd 112.41 Cd.upf
Ag 107.87 Ag.upf
ATOMIC_POSITIONS crystal
Rh 0.500 0.000 0.000
Rh 0.000 0.500 0.000
B 0.000 0.000 0.000
Cd 0.500 0.500 0.500
Ag 0.000 0.000 0.500
CELL_PARAMETERS angstrom
-2.039 3.162 1.757
0.401 -1.807 3.717
3.764 2.089 0.610
! - DOS(E_F): 0.255 states/eV per atom
! - ΔE_f: -0.09 eV per atom

***

Record 17
! LiMn2Tl3Cl8 | the Alexandria database | PBE-GGA | relaxed; values from VASP
&SYSTEM
  ibrav = 0, nat = 14, ntyp = 4
/
ATOMIC_SPECIES
Cl 35.45 Cl.upf
Mn 54.94 Mn.upf
Li 6.94 Li.upf
Tl 204.38 Tl.upf
ATOMIC_POSITIONS crystal
Cl 0.839 0.678 0.682
Cl 0.322 0.161 0.682
Cl 0.161 0.839 0.318
Cl 0.333 0.667 0.956
Cl 0.161 0.322 0.318
Cl 0.667 0.333 0.044
Cl 0.839 0.161 0.682
Cl 0.678 0.839 0.318
Mn 0.667 0.333 0.789
Mn 0.333 0.667 0.211
Li 0.000 0.000 0.500
Tl 0.000 0.000 0.000
Tl 0.667 0.333 0.377
Tl 0.333 0.667 0.623
CELL_PARAMETERS angstrom
-5.716 4.351 0.686
1.825 -4.438 5.390
5.293 6.405 3.481
! - DOS(E_F): 0.000 states/eV per atom
! - DFT total energy: -58.15 eV for the cell shown

***

Record 18
! Be2MoAs | the Alexandria database | PBE-GGA | relaxed; values from VASP
&SYSTEM
  ibrav = 0, nat = 4, ntyp = 3
/
ATOMIC_SPECIES
As 74.92 As.upf
Mo 95.94 Mo.upf
Be 9.01 Be.upf
ATOMIC_POSITIONS crystal
As 0.500 0.500 0.750
Mo 0.500 0.500 0.250
Be 0.000 0.000 0.481
Be 0.000 0.000 0.019
CELL_PARAMETERS angstrom
2.650 0.000 0.000
0.000 2.650 0.000
0.000 0.000 7.718
! - DOS(E_F): 0.546 states/eV per atom
! - ΔE_f: 0.36 eV per atom

***

Record 19
! Nd3Tm6Sc | the Alexandria database | PBE-GGA | relaxed; values from VASP
&SYSTEM
  ibrav = 0, nat = 20, ntyp = 3
/
ATOMIC_SPECIES
Tm 168.93 Tm.upf
Sc 44.96 Sc.upf
Nd 144.24 Nd.upf
ATOMIC_POSITIONS crystal
Tm 0.250 0.502 0.309
Tm 0.750 0.784 0.712
Tm 0.750 0.498 0.691
Tm 0.250 0.261 0.698
Tm 0.750 0.739 0.302
Tm 0.250 0.190 0.923
Tm 0.750 0.343 0.123
Tm 0.750 0.810 0.077
Tm 0.750 0.115 0.482
Tm 0.250 0.657 0.877
Tm 0.250 0.885 0.518
Tm 0.250 0.216 0.288
Sc 0.250 0.960 0.281
Sc 0.750 0.040 0.719
Nd 0.250 0.372 0.494
Nd 0.250 0.929 0.895
Nd 0.750 0.628 0.506
Nd 0.750 0.420 0.901
Nd 0.750 0.071 0.105
Nd 0.250 0.580 0.099
CELL_PARAMETERS angstrom
-0.356 3.145 -1.420
-6.816 3.860 10.256
13.020 3.410 4.287
! - DOS(E_F): 1.580 states/eV per atom
! - Energy above the most stable polymorph in this dataset: 46 meV per atom
! - ΔE_f: 0.09 eV per atom

***

Record 20
! Ag7Pt3 | the Alexandria database | PBE-GGA | relaxed; values from VASP
&SYSTEM
  ibrav = 0, nat = 10, ntyp = 2
/
ATOMIC_SPECIES
Ag 107.87 Ag.upf
Pt 195.08 Pt.upf
ATOMIC_POSITIONS crystal
Ag 0.402 0.598 0.000
Ag 0.298 0.702 0.500
Ag 0.797 0.203 0.000
Ag 0.002 0.998 0.000
Ag 0.902 0.098 0.500
Ag 0.698 0.302 0.500
Ag 0.600 0.400 0.000
Pt 0.503 0.497 0.500
Pt 0.100 0.900 0.500
Pt 0.197 0.803 0.000
CELL_PARAMETERS angstrom
-7.976 -6.111 2.297
9.479 2.419 -3.245
1.423 -0.410 3.850
! - DOS(E_F): 0.331 states/eV per atom
! - Energy above the most stable polymorph in this dataset: 2 meV per atom
! - ΔE_f: 0.03 eV per atom

***

Record 21
! CsPmI2O8 | the Alexandria database | PBE-GGA | relaxed; values from VASP
&SYSTEM
  ibrav = 0, nat = 12, ntyp = 4
/
ATOMIC_SPECIES
O 16.00 O.upf
I 126.90 I.upf
Cs 132.91 Cs.upf
Pm 145.00 Pm.upf
ATOMIC_POSITIONS crystal
O 0.667 0.333 0.090
O 0.773 0.102 0.333
O 0.898 0.671 0.333
O 0.329 0.227 0.333
O 0.227 0.898 0.667
O 0.671 0.773 0.667
O 0.333 0.667 0.910
O 0.102 0.329 0.667
I 0.333 0.667 0.704
I 0.667 0.333 0.296
Cs 0.000 0.000 0.000
Pm 0.000 0.000 0.500
CELL_PARAMETERS angstrom
6.287 0.000 0.000
-3.144 5.445 0.000
0.000 0.000 8.699
! - DOS(E_F): 0.197 states/eV per atom
! - DFT total energy: -61.04 eV for the cell shown

***

Record 22
! GaCu2Ge | the Alexandria database | PBE-GGA | relaxed; values from VASP
&SYSTEM
  ibrav = 0, nat = 4, ntyp = 3
/
ATOMIC_SPECIES
Cu 63.55 Cu.upf
Ge 72.64 Ge.upf
Ga 69.72 Ga.upf
ATOMIC_POSITIONS crystal
Cu 0.268 0.268 0.196
Cu 0.074 0.074 0.779
Ge 0.480 0.480 0.560
Ga 0.678 0.678 0.965
CELL_PARAMETERS angstrom
-2.941 2.785 0.446
-3.205 -0.002 -2.516
-4.187 -1.767 2.035
! - DOS(E_F): 0.252 states/eV per atom
! - Energy above the most stable polymorph in this dataset: 26 meV per atom
! - ΔE_f: 0.10 eV per atom

***

Record 23
! Cr2Pd7Pt2 | the Alexandria database | PBE-GGA | relaxed; values from VASP
&SYSTEM
  ibrav = 0, nat = 11, ntyp = 3
/
ATOMIC_SPECIES
Pd 106.42 Pd.upf
Cr 52.00 Cr.upf
Pt 195.08 Pt.upf
ATOMIC_POSITIONS crystal
Pd 0.631 0.588 0.000
Pd 0.831 0.922 0.501
Pd 0.169 0.577 0.501
Pd 0.831 0.423 0.499
Pd 0.369 0.412 0.000
Pd 0.169 0.078 0.499
Pd 0.000 0.000 0.000
Cr 0.058 0.246 0.000
Cr 0.942 0.754 0.000
Pt 0.500 0.182 0.637
Pt 0.500 0.818 0.363
CELL_PARAMETERS angstrom
-3.901 0.991 -2.639
-7.038 -6.528 -2.592
-5.777 -2.299 2.404
! - DOS(E_F): 1.289 states/eV per atom
! - ΔE_f: 0.07 eV per atom